The following is a GGA-PBEsol calculation of a relaxed MgFeRu2 crystal, from Alexandria via LeMat-Bulk.

Unit cell a=2.8901 b=4.2439 c=4.4162 alpha=90.00 beta=90.00 gamma=90.00
Closest atoms and distances in Å follow each position.
Sites, in units of the cell vectors:
Fe 0.5000 0.5000 0.0000  4 Ru 2.57, 4 Mg 2.64
Mg 0.0000 0.5000 0.5000  4 Ru 2.57, 4 Fe 2.64
Ru 0.0000 0.0000 0.0000  4 Fe 2.57, 4 Ru 2.64
Ru 0.5000 0.0000 0.5000  4 Mg 2.57, 4 Ru 2.64

Calculated values
- E: -0.5455 Ry/atom
- Space group: Pmmm